Entry 1:
Computed, not measured: crystalline EuMgAu2 at its relaxed geometry at the PBE level of DFT.

Cell: 3.538 3.538 7.088 Å, 90.00 90.00 90.00°
Space group P4/mmm (No. 123)
Inequivalent atoms, fractional coordinates:
Eu: 0.000 0.000 0.000
Mg: 0.000 0.000 0.500
Au: 0.500 0.500 0.290

Results
E_form: -2.686 eV per formula unit
Spin magnetization: 7.145 μB per cell
DFT total energy: -5.28 eV/atom
Theoretical density: 10.7 g/cm³
V: 88.7 Å³ per cell



Entry 2:
Computed, not measured: crystalline Eu2MgAu at its relaxed geometry at the PBE level of DFT.

Cell: 7.698 7.698 7.698 Å, 90.00 90.00 90.00°
Space group Fm-3m (No. 225)
Inequivalent atoms, fractional coordinates:
Eu: 0.250 0.250 0.250
Mg: 0.000 0.000 0.000
Au: 0.000 0.000 0.500

Results
E_form: -1.522 eV per formula unit
Spin magnetization: 57.364 μB per cell
DFT total energy: -6.74 eV/atom
Polymorph energy (0 for the lowest one): 60 meV/atom
Theoretical density: 7.6 g/cm³
V: 456.2 Å³ per cell



Entry 3:
Computed, not measured: crystalline Eu2MgAu at its relaxed geometry at the PBE level of DFT.

Cell: 3.835 3.835 7.923 Å, 90.00 90.00 90.00°
Space group P4/mmm (No. 123)
Inequivalent atoms, fractional coordinates:
Eu: 0.000 0.000 0.223
Mg: 0.500 0.500 0.500
Au: 0.500 0.500 0.000

Results
E_form: -1.761 eV per formula unit
Spin magnetization: 14.395 μB per cell
DFT total energy: -6.80 eV/atom
Polymorph energy (0 for the lowest one): 0 meV/atom
Theoretical density: 7.5 g/cm³
V: 116.5 Å³ per cell



Entry 4:
Computed, not measured: crystalline EuMgAu2 at its relaxed geometry at the PBE level of DFT.

Cell: 5.009 5.009 3.614 Å, 90.00 90.00 90.00°
Space group P4/mmm (No. 123)
Inequivalent atoms, fractional coordinates:
Eu: 0.000 0.000 0.000
Mg: 0.500 0.500 0.000
Au: 0.000 0.500 0.500

Results
E_form: -2.362 eV per formula unit
Spin magnetization: 7.191 μB per cell
DFT total energy: -5.20 eV/atom
Theoretical density: 10.4 g/cm³
V: 90.7 Å³ per cell



Entry 5:
Computed, not measured: crystalline Eu3MgAu at its relaxed geometry at the PBE level of DFT.

Cell: 5.883 5.883 5.883 Å, 90.00 90.00 90.00°
Space group Pm-3m (No. 221)
Inequivalent atoms, fractional coordinates:
Eu: 0.000 0.000 0.500
Mg: 0.500 0.500 0.500
Au: 0.000 0.000 0.000

Results
E_form: -1.031 eV per formula unit
Spin magnetization: 21.899 μB per cell
DFT total energy: -7.35 eV/atom
Theoretical density: 5.5 g/cm³
V: 203.6 Å³ per cell



Entry 6:
Computed, not measured: crystalline EuMgAu4 at its relaxed geometry at the PBE level of DFT.

Cell: 7.982 7.982 7.982 Å, 90.00 90.00 90.00°
Space group F-43m (No. 216)
Inequivalent atoms, fractional coordinates:
Eu: 0.000 0.000 0.000
Mg: 0.250 0.250 0.250
Au: 0.125 0.125 0.625

Results
E_form: -2.833 eV per formula unit
Spin magnetization: 28.778 μB per cell
DFT total energy: -4.64 eV/atom
Theoretical density: 12.6 g/cm³
V: 508.6 Å³ per cell